Run 1
An optimized crystal structure of MnPdSe. Source: the Alexandria database, functional PBE-GGA.

Calculated values
Total moment   4.27 μB/f.u.
Crystal system   tetragonal
Space group   I4mm, No. 107
ρ   7.996 Mg/m³

Cell: 4.915 4.915 4.915 Å, 139.35 139.35 58.84°
Sites, in units of the cell vectors:
Mn 0.000 0.000 0.000
Pd 0.332 0.332 0.000
Se 0.638 0.638 0.000

Run 2
An optimized crystal structure of MnPdSe. Source: the Alexandria database, functional PBE-GGA.

Calculated values
Total moment   4.92 μB/f.u.
Crystal system   cubic
Space group   F-43m, No. 216
ρ   6.969 Mg/m³

Cell: 4.326 4.326 4.326 Å, 60.00 60.00 60.00°
Sites, in units of the cell vectors:
Mn 0.000 0.000 0.000
Pd 0.750 0.750 0.750
Se 0.500 0.500 0.500

Run 3
An optimized crystal structure of MnPdSe. Source: the Alexandria database, functional PBE-GGA.

Calculated values
Total moment   0.01 μB/f.u.
Crystal system   monoclinic
Space group   C2/m, No. 12
ρ   8.331 Mg/m³

Cell: 4.436 4.436 7.402 Å, 97.25 97.25 41.59°
Sites, in units of the cell vectors:
Mn 0.020 0.020 0.133
Mn 0.980 0.980 0.867
Pd 0.371 0.371 0.587
Pd 0.629 0.629 0.413
Se 0.325 0.325 0.216
Se 0.675 0.675 0.784

The most stable of them is run 2.

Run 1
An optimized crystal structure of MnPd2Se. Source: the Alexandria database, functional PBE-GGA.

Calculated values
Total moment   4.55 μB/f.u.
Crystal system   cubic
Space group   Fm-3m, No. 225
ρ   8.904 Mg/m³

Cell: 4.505 4.505 4.505 Å, 60.00 60.00 60.00°
Sites, in units of the cell vectors:
Mn 0.000 0.000 0.000
Pd 0.250 0.250 0.250
Pd 0.750 0.750 0.750
Se 0.500 0.500 0.500

Run 2
An optimized crystal structure of MnPd2Se. Source: the Alexandria database, functional PBE-GGA.

Calculated values
Total moment   4.32 μB/f.u.
Crystal system   tetragonal
Space group   I-42d, No. 122
ρ   8.376 Mg/m³

Cell: 5.730 5.730 5.730 Å, 102.64 102.64 124.21°
Sites, in units of the cell vectors:
Mn 0.000 0.000 0.000
Mn 0.750 0.250 0.500
Pd 0.131 0.625 0.006
Pd 0.375 0.381 0.506
Pd 0.619 0.125 0.994
Pd 0.875 0.869 0.494
Se 0.250 0.750 0.500
Se 0.500 0.500 0.000

The most stable of them is run 1.

Run 1
An optimized crystal structure of MnPd2Se. Source: the Alexandria database, functional PBE-GGA.

Calculated values
Total moment   4.81 μB/f.u.
Crystal system   tetragonal
Space group   P4/mmm, No. 123
ρ   8.915 Mg/m³

Cell: 4.137 4.137 3.774 Å, 90.00 90.00 90.00°
Sites, in units of the cell vectors:
Mn 0.000 0.000 0.000
Pd 0.000 0.500 0.500
Pd 0.500 0.000 0.500
Se 0.500 0.500 0.000

Run 2
An optimized crystal structure of MnPd2Se. Source: the Alexandria database, functional PBE-GGA.

Calculated values
Total moment   3.68 μB/f.u.
Crystal system   tetragonal
Space group   P4/mmm, No. 123
ρ   9.011 Mg/m³

Cell: 3.377 3.377 5.603 Å, 90.00 90.00 90.00°
Sites, in units of the cell vectors:
Mn 0.000 0.000 0.000
Pd 0.500 0.500 0.242
Pd 0.500 0.500 0.758
Se 0.000 0.000 0.500

The most stable of them is run 2.

Run 1
An optimized crystal structure of MnPd3Se6. Source: the Alexandria database, functional PBE-GGA.

Calculated values
Total moment   2.94 μB/f.u.
Crystal system   triclinic
Space group   P-1, No. 2
ρ   6.350 Mg/m³

Cell: 6.187 6.192 6.332 Å, 110.14 97.65 97.35°
Sites, in units of the cell vectors:
Mn 0.000 0.000 0.000
Pd 0.000 0.500 0.000
Pd 0.000 0.500 0.500
Pd 0.500 0.000 0.500
Se 0.137 0.926 0.619
Se 0.264 0.374 0.241
Se 0.319 0.821 0.086
Se 0.681 0.179 0.914
Se 0.736 0.626 0.759
Se 0.863 0.074 0.381

Run 2
An optimized crystal structure of MnPd3Se6. Source: the Alexandria database, functional PBE-GGA.

Calculated values
Total moment   2.58 μB/f.u.
Crystal system   trigonal
Space group   R-3, No. 148
ρ   6.577 Mg/m³

Cell: 7.537 7.537 7.537 Å, 90.18 90.18 90.18°
Sites, in units of the cell vectors:
Mn 0.000 0.000 0.000
Mn 0.500 0.500 0.500
Pd 0.053 0.585 0.745
Pd 0.255 0.947 0.415
Pd 0.415 0.255 0.947
Pd 0.585 0.745 0.053
Pd 0.745 0.053 0.585
Pd 0.947 0.415 0.255
Se 0.035 0.912 0.685
Se 0.088 0.315 0.965
Se 0.190 0.586 0.431
Se 0.315 0.965 0.088
Se 0.414 0.569 0.810
Se 0.431 0.190 0.586
Se 0.569 0.810 0.414
Se 0.586 0.431 0.190
Se 0.685 0.035 0.912
Se 0.810 0.414 0.569
Se 0.912 0.685 0.035
Se 0.965 0.088 0.315

The most stable of them is run 1.

Run 1
An optimized crystal structure of MnSiPd3. Source: the Alexandria database, functional PBE-GGA.

Calculated values
Total moment   0.75 μB/f.u.
Crystal system   cubic
Space group   Pm-3m, No. 221
ρ   7.521 Mg/m³

Cell: 4.462 4.462 4.462 Å, 90.00 90.00 90.00°
Sites, in units of the cell vectors:
Mn 0.000 0.000 0.000
Si 0.500 0.500 0.500
Pd 0.000 0.500 0.500
Pd 0.500 0.000 0.500
Pd 0.500 0.500 0.000

Run 2
An optimized crystal structure of MnSiPd3. Source: the Alexandria database, functional PBE-GGA.

Calculated values
Total moment   0.00 μB/f.u.
Crystal system   cubic
Space group   Pm-3m, No. 221
ρ   7.148 Mg/m³

Cell: 4.538 4.538 4.538 Å, 90.00 90.00 90.00°
Sites, in units of the cell vectors:
Mn 0.000 0.000 0.000
Si 0.500 0.500 0.500
Pd 0.000 0.000 0.500
Pd 0.000 0.500 0.000
Pd 0.500 0.000 0.000

The most stable of them is run 1.

Run 1
An optimized crystal structure of MnSi2Pd. Source: the Alexandria database, functional PBE-GGA.

Calculated values
Total moment   1.35 μB/f.u.
Crystal system   cubic
Space group   Fm-3m, No. 225
ρ   7.025 Mg/m³

Cell: 4.174 4.174 4.174 Å, 60.00 60.00 60.00°
Sites, in units of the cell vectors:
Mn 0.000 0.000 0.000
Si 0.250 0.250 0.250
Si 0.750 0.750 0.750
Pd 0.500 0.500 0.500

Run 2
An optimized crystal structure of MnSi2Pd. Source: the Alexandria database, functional PBE-GGA.

Calculated values
Total moment   3.09 μB/f.u.
Crystal system   tetragonal
Space group   I-42d, No. 122
ρ   5.909 Mg/m³

Cell: 5.481 5.481 5.481 Å, 103.66 103.66 121.84°
Sites, in units of the cell vectors:
Mn 0.000 0.000 0.000
Mn 0.750 0.250 0.500
Si 0.132 0.625 0.007
Si 0.375 0.382 0.507
Si 0.618 0.125 0.993
Si 0.875 0.868 0.493
Pd 0.250 0.750 0.500
Pd 0.500 0.500 0.000

The most stable of them is run 1.

Run 1
An optimized crystal structure of SrMnPd3. Source: the Alexandria database, functional PBE-GGA.

Calculated values
Total moment   0.00 μB/f.u.
Crystal system   cubic
Space group   Pm-3m, No. 221
ρ   7.343 Mg/m³

Cell: 4.709 4.709 4.709 Å, 90.00 90.00 90.00°
Sites, in units of the cell vectors:
Sr 0.000 0.000 0.000
Mn 0.500 0.500 0.500
Pd 0.000 0.500 0.500
Pd 0.500 0.000 0.500
Pd 0.500 0.500 0.000

Run 2
An optimized crystal structure of SrMnPd3. Source: the Alexandria database, functional PBE-GGA.

Calculated values
Total moment   4.99 μB/f.u.
Crystal system   cubic
Space group   Pm-3m, No. 221
ρ   5.712 Mg/m³

Cell: 5.121 5.121 5.121 Å, 90.00 90.00 90.00°
Sites, in units of the cell vectors:
Sr 0.000 0.000 0.000
Mn 0.500 0.500 0.500
Pd 0.000 0.000 0.500
Pd 0.000 0.500 0.000
Pd 0.500 0.000 0.000

The most stable of them is run 1.

Run 1
An optimized crystal structure of Sr2MnPd. Source: the Alexandria database, functional PBE-GGA.

Calculated values
Total moment   3.75 μB/f.u.
Crystal system   cubic
Space group   Fm-3m, No. 225
ρ   5.008 Mg/m³

Cell: 5.404 5.404 5.404 Å, 60.00 60.00 60.00°
Sites, in units of the cell vectors:
Sr 0.250 0.250 0.250
Sr 0.750 0.750 0.750
Mn 0.000 0.000 0.000
Pd 0.500 0.500 0.500

Run 2
An optimized crystal structure of Sr2MnPd. Source: the Alexandria database, functional PBE-GGA.

Calculated values
Total moment   4.11 μB/f.u.
Crystal system   tetragonal
Space group   I-42d, No. 122
ρ   4.645 Mg/m³

Cell: 6.880 6.880 6.880 Å, 103.33 103.33 122.60°
Sites, in units of the cell vectors:
Sr 0.088 0.125 0.463
Sr 0.375 0.912 0.037
Sr 0.662 0.625 0.537
Sr 0.875 0.338 0.963
Mn 0.250 0.750 0.500
Mn 0.500 0.500 0.000
Pd 0.000 0.000 0.000
Pd 0.750 0.250 0.500

The most stable of them is run 1.

Run 1
An optimized crystal structure of SrMn3Pd. Source: the Alexandria database, functional PBE-GGA.

Calculated values
Total moment   11.21 μB/f.u.
Crystal system   cubic
Space group   Pm-3m, No. 221
ρ   5.272 Mg/m³

Cell: 4.835 4.835 4.835 Å, 90.00 90.00 90.00°
Sites, in units of the cell vectors:
Sr 0.000 0.000 0.000
Mn 0.000 0.000 0.500
Mn 0.000 0.500 0.000
Mn 0.500 0.000 0.000
Pd 0.500 0.500 0.500

Run 2
An optimized crystal structure of SrMn3Pd. Source: the Alexandria database, functional PBE-GGA.

Calculated values
Total moment   12.91 μB/f.u.
Crystal system   cubic
Space group   Pm-3m, No. 221
ρ   4.850 Mg/m³

Cell: 4.971 4.971 4.971 Å, 90.00 90.00 90.00°
Sites, in units of the cell vectors:
Sr 0.000 0.000 0.000
Mn 0.000 0.500 0.500
Mn 0.500 0.000 0.500
Mn 0.500 0.500 0.000
Pd 0.500 0.500 0.500

The most stable of them is run 2.

Run 1
An optimized crystal structure of TaMnPd3. Source: the Alexandria database, functional PBE-GGA.

Calculated values
Total moment   3.20 μB/f.u.
Crystal system   triclinic
Space group   P-1, No. 2
ρ   11.898 Mg/m³

Cell: 4.856 5.608 6.278 Å, 76.47 74.52 72.53°
Sites, in units of the cell vectors:
Ta 0.205 0.280 0.097
Ta 0.795 0.720 0.903
Mn 0.397 0.603 0.699
Mn 0.603 0.397 0.301
Pd 0.000 0.000 0.500
Pd 0.000 0.500 0.500
Pd 0.210 0.781 0.098
Pd 0.403 0.103 0.703
Pd 0.597 0.897 0.297
Pd 0.790 0.219 0.902

Run 2
An optimized crystal structure of TaMnPd3. Source: the Alexandria database, functional PBE-GGA.

Calculated values
Total moment   4.00 μB/f.u.
Crystal system   orthorhombic
Space group   Pnma, No. 62
ρ   10.976 Mg/m³

Cell: 7.046 7.046 6.767 Å, 90.00 90.00 90.00°
Sites, in units of the cell vectors:
Ta 0.178 0.250 0.078
Ta 0.322 0.750 0.578
Ta 0.678 0.250 0.422
Ta 0.822 0.750 0.922
Mn 0.000 0.000 0.500
Mn 0.000 0.500 0.500
Mn 0.500 0.000 0.000
Mn 0.500 0.500 0.000
Pd 0.131 0.750 0.226
Pd 0.138 0.555 0.854
Pd 0.138 0.945 0.854
Pd 0.362 0.055 0.354
Pd 0.362 0.445 0.354
Pd 0.369 0.250 0.726
Pd 0.631 0.750 0.274
Pd 0.638 0.555 0.646
Pd 0.638 0.945 0.646
Pd 0.862 0.055 0.146
Pd 0.862 0.445 0.146
Pd 0.869 0.250 0.774

Run 3
An optimized crystal structure of TaMnPd3. Source: the Alexandria database, functional PBE-GGA.

Calculated values
Total moment   4.20 μB/f.u.
Crystal system   cubic
Space group   Pm-3m, No. 221
ρ   8.206 Mg/m³

Cell: 4.825 4.825 4.825 Å, 90.00 90.00 90.00°
Sites, in units of the cell vectors:
Ta 0.000 0.000 0.000
Mn 0.500 0.500 0.500
Pd 0.000 0.000 0.500
Pd 0.000 0.500 0.000
Pd 0.500 0.000 0.000

The most stable of them is run 1.

Run 1
An optimized crystal structure of TaMn2Pd8. Source: the Alexandria database, functional PBE-GGA.

Calculated values
Total moment   8.55 μB/f.u.
Crystal system   orthorhombic
Space group   Immm, No. 71
ρ   10.921 Mg/m³

Cell: 7.284 7.284 7.284 Å, 147.14 122.98 67.40°
Sites, in units of the cell vectors:
Ta 0.000 0.000 0.000
Mn 0.310 0.310 0.000
Mn 0.690 0.690 0.000
Pd 0.117 0.842 0.276
Pd 0.150 0.650 0.500
Pd 0.296 0.500 0.796
Pd 0.434 0.158 0.276
Pd 0.566 0.842 0.724
Pd 0.704 0.500 0.204
Pd 0.850 0.350 0.500
Pd 0.883 0.158 0.724

Run 2
An optimized crystal structure of TaMn2Pd8. Source: the Alexandria database, functional PBE-GGA.

Calculated values
Total moment   8.32 μB/f.u.
Crystal system   monoclinic
Space group   C2/m, No. 12
ρ   11.248 Mg/m³

Cell: 7.306 7.306 6.264 Å, 106.10 106.10 31.78°
Sites, in units of the cell vectors:
Ta 0.000 0.000 0.000
Mn 0.277 0.277 0.352
Mn 0.723 0.723 0.648
Pd 0.098 0.098 0.451
Pd 0.180 0.180 0.916
Pd 0.360 0.360 0.813
Pd 0.457 0.457 0.270
Pd 0.543 0.543 0.730
Pd 0.640 0.640 0.187
Pd 0.820 0.820 0.084
Pd 0.902 0.902 0.549

The most stable of them is run 2.

Run 1
An optimized crystal structure of MnTc2Pd. Source: the Alexandria database, functional PBE-GGA.

Calculated values
Total moment   0.00 μB/f.u.
Crystal system   cubic
Space group   Fm-3m, No. 225
ρ   10.580 Mg/m³

Cell: 4.297 4.297 4.297 Å, 60.00 60.00 60.00°
Sites, in units of the cell vectors:
Mn 0.000 0.000 0.000
Tc 0.250 0.250 0.250
Tc 0.750 0.750 0.750
Pd 0.500 0.500 0.500

Run 2
An optimized crystal structure of MnTc2Pd. Source: the Alexandria database, functional PBE-GGA.

Calculated values
Total moment   3.67 μB/f.u.
Crystal system   tetragonal
Space group   I-42d, No. 122
ρ   9.398 Mg/m³

Cell: 9.824 9.824 9.824 Å, 158.59 158.59 30.46°
Sites, in units of the cell vectors:
Mn 0.000 0.000 0.000
Mn 0.750 0.250 0.500
Tc 0.097 0.625 0.972
Tc 0.375 0.347 0.472
Tc 0.653 0.125 0.028
Tc 0.875 0.903 0.528
Pd 0.250 0.750 0.500
Pd 0.500 0.500 0.000

The most stable of them is run 1.